(1)
Density functional theory data (PBE-GGA) for an optimized crystal structure of Rb2Ta2Br.

Calculated values
The size of the total moment is 0.00 μB per atom. The total energy is -5.271 eV/atom. The calculation puts the uncorrected formation energy at 0.19 eV/atom. As for the density of states at the Fermi level: 5.8 states/eV per cell.

The structure in CIF format:
```
data_Rb2Ta2Br
_symmetry_space_group_name_H-M 'I 4/m m m'
_symmetry_Int_Tables_number 139
_symmetry_space_group_name_Hall '-I 4 2'
_cell_length_a 3.768
_cell_length_b 3.768
_cell_length_c 23.124
_cell_angle_alpha 90.00
_cell_angle_beta 90.00
_cell_angle_gamma 90.00
loop_
_atom_site_label
_atom_site_type_symbol
_atom_site_fract_x
_atom_site_fract_y
_atom_site_fract_z
_atom_site_occupancy
Rb1 Rb 0.000 0.000 0.094 1
Ta1 Ta 0.000 0.500 0.250 1
Br1 Br 0.000 0.000 0.500 1
```

***

(2)
Density functional theory data (PBE-GGA) for an optimized crystal structure of RbTaBr2.

Calculated values
The size of the total moment is 0.99 μB per atom. The total energy is -3.646 eV/atom. The calculation puts the uncorrected formation energy at 0.40 eV/atom. As for the density of states at the Fermi level: 12.6 states/eV per cell.

The structure in CIF format:
```
data_RbTaBr2
_symmetry_space_group_name_H-M 'F m -3 m'
_symmetry_Int_Tables_number 225
_symmetry_space_group_name_Hall '-F 4 2 3'
_cell_length_a 7.767
_cell_length_b 7.767
_cell_length_c 7.767
_cell_angle_alpha 90.00
_cell_angle_beta 90.00
_cell_angle_gamma 90.00
loop_
_atom_site_label
_atom_site_type_symbol
_atom_site_fract_x
_atom_site_fract_y
_atom_site_fract_z
_atom_site_occupancy
Rb1 Rb 0.000 0.000 0.000 1
Ta1 Ta 0.000 0.000 0.500 1
Br1 Br 0.250 0.250 0.250 1
```

***

(3)
Density functional theory data (PBE-GGA) for an optimized crystal structure of Rb2Ta2Br.

Calculated values
The size of the total moment is 0.35 μB per atom. The total energy is -4.102 eV/atom. The calculation puts the uncorrected formation energy at 1.36 eV/atom. As for the density of states at the Fermi level: 10.3 states/eV per cell.

The structure in CIF format:
```
data_Rb2Ta2Br
_symmetry_space_group_name_H-M 'I 4/m m m'
_symmetry_Int_Tables_number 139
_symmetry_space_group_name_Hall '-I 4 2'
_cell_length_a 7.302
_cell_length_b 7.302
_cell_length_c 7.856
_cell_angle_alpha 90.00
_cell_angle_beta 90.00
_cell_angle_gamma 90.00
loop_
_atom_site_label
_atom_site_type_symbol
_atom_site_fract_x
_atom_site_fract_y
_atom_site_fract_z
_atom_site_occupancy
Rb1 Rb 0.000 0.500 0.250 1
Ta1 Ta 0.000 0.000 0.144 1
Br1 Br 0.000 0.000 0.500 1
```

***

(4)
Density functional theory data (PBE-GGA) for an optimized crystal structure of RbTaBr2.

Calculated values
The size of the total moment is 0.21 μB per atom. The total energy is -4.101 eV/atom. The calculation puts the uncorrected formation energy at -0.06 eV/atom. As for the density of states at the Fermi level: 11.9 states/eV per cell.

The structure in CIF format:
```
data_RbTaBr2
_symmetry_space_group_name_H-M 'R -3 m'
_symmetry_Int_Tables_number 166
_symmetry_space_group_name_Hall '-R 3 2"'
_cell_length_a 3.5477
_cell_length_b 3.5477
_cell_length_c 30.4620
_cell_angle_alpha 90.00
_cell_angle_beta 90.00
_cell_angle_gamma 120.00
loop_
_atom_site_label
_atom_site_type_symbol
_atom_site_fract_x
_atom_site_fract_y
_atom_site_fract_z
_atom_site_occupancy
Rb1 Rb 0.0000 0.0000 0.0000 1
Ta1 Ta 0.0000 0.0000 0.5000 1
Br1 Br 0.0000 0.0000 0.4166 1
```

***

no.,excess energy over the best structure of this formula in the dataset (meV/atom)
1,0
2,455
3,1169
4,0